[1]
KScPdSe3 | PBE | relaxed

Results
Crystal system: orthorhombic
Distance to the lowest polymorph of the same formula (meV/atom): 2
Space group: Cmcm (63)

Cell: 8.026 8.026 9.860 Å, 90.00 90.00 151.53°
Sites, in units of the cell vectors:
1 K 0.240 0.760 0.250
2 Se 0.914 0.086 0.250
3 Pd 0.516 0.484 0.250
4 Sc 0.000 0.000 0.000
5 Se 0.382 0.618 0.944
6 Se 0.618 0.382 0.444
7 Se 0.618 0.382 0.056
8 Se 0.382 0.618 0.556
9 K 0.760 0.240 0.750
10 Se 0.086 0.914 0.750
11 Sc 0.000 0.000 0.500
12 Pd 0.484 0.516 0.750

[2]
YUOs | PBE | relaxed

Results
Crystal system: cubic
Distance to the lowest polymorph of the same formula (meV/atom): 0
Space group: F-43m (216)
Formation energy (eV per atom): 0.211

Cell: 4.726 4.726 4.726 Å, 60.00 60.00 60.00°
Sites, in units of the cell vectors:
1 Os 0.000 0.000 0.000
2 Y 0.750 0.750 0.750
3 U 0.250 0.250 0.250

[3]
YAgPbSe2S | PBE | relaxed

Results
Crystal system: orthorhombic
Calculated total energy (eV/atom): -5.01
Space group: Cmcm (63)

Cell: 7.143 7.143 10.409 Å, 90.00 90.00 146.21°
Sites, in units of the cell vectors:
1 Se 0.145 0.855 0.051
2 Se 0.855 0.145 0.551
3 Ag 0.029 0.971 0.250
4 Y 0.500 0.500 0.500
5 Ag 0.971 0.029 0.750
6 Pb 0.756 0.244 0.250
7 Pb 0.244 0.756 0.750
8 S 0.583 0.417 0.750
9 Y 0.500 0.500 0.000
10 Se 0.855 0.145 0.949
11 Se 0.145 0.855 0.449
12 S 0.417 0.583 0.250

[4]
Y2TlNiAu | PBE | relaxed

Results
Crystal system: orthorhombic
Calculated total energy (eV/atom): -5.40
Space group: Amm2 (38)

Cell: 3.724 7.761 7.761 Å, 30.86 90.00 90.00°
Sites, in units of the cell vectors:
1 Y 0.500 0.633 0.633
2 Au 0.000 0.799 0.799
3 Y 0.500 0.370 0.370
4 Tl 0.000 0.006 0.006
5 Ni 0.000 0.191 0.191